meta-GGA SCAN Cs3SiCl, single point on PBEsol structure; E = -134.00 eV/cell; calculated volume = 265 Å³ per cell; DOS at the Fermi energy = 2.52 states/eV/f.u.
1.0
6.4204 0.0000 0.0000
0.0000 6.4204 0.0000
0.0000 0.0000 6.4204
Cs Si Cl
3 1 1
direct
0.0000 0.0000 0.5000 Cs
0.0000 0.5000 0.0000 Cs
0.5000 0.0000 0.0000 Cs
0.5000 0.5000 0.5000 Si
0.0000 0.0000 0.0000 Cl